Record 1
A relaxed structure of BeCdOs2. Source: Alexandria, functional PBE-GGA.

The structure in CIF format:
```
data_BeCdOs2
_space_group_name_H-M_alt 'P 1'
_space_group_IT_number 1
_space_group_name_Hall 'P 1'
_cell_length_a 2.871
_cell_length_b 4.530
_cell_length_c 4.521
_cell_angle_alpha 90.00
_cell_angle_beta 90.00
_cell_angle_gamma 90.00
loop_
_atom_site_label
_atom_site_type_symbol
_atom_site_fract_x
_atom_site_fract_y
_atom_site_fract_z
_atom_site_occupancy
Be1 Be 0.500 0.000 0.500 1
Os1 Os 0.000 0.000 0.000 1
Os2 Os 0.500 0.500 0.000 1
Cd1 Cd 0.000 0.500 0.500 1
```

Energy of formation from the pure elements ... 628 meV/atom
Distance to the lowest polymorph of the same formula ... 0.477 eV/atom
Crystal system ... orthorhombic
V ... 59 Å³/cell
Total DFT energy (no corrections) ... -24.589 eV/cell


Record 2
A relaxed structure of BeCd2Os. Source: Alexandria, functional PBE-GGA.

The structure in CIF format:
```
data_BeCd2Os
_space_group_name_H-M_alt 'P 1'
_space_group_IT_number 1
_space_group_name_Hall 'P 1'
_cell_length_a 2.749
_cell_length_b 4.256
_cell_length_c 5.548
_cell_angle_alpha 90.00
_cell_angle_beta 90.00
_cell_angle_gamma 90.00
loop_
_atom_site_label
_atom_site_type_symbol
_atom_site_fract_x
_atom_site_fract_y
_atom_site_fract_z
_atom_site_occupancy
Be1 Be 0.500 0.500 0.750 1
Os1 Os 0.500 0.500 0.250 1
Cd1 Cd 0.000 0.000 0.996 1
Cd2 Cd 0.000 0.000 0.504 1
```

Energy of formation from the pure elements ... 647 meV/atom
Crystal system ... orthorhombic
V ... 65 Å³/cell
Total DFT energy (no corrections) ... -14.196 eV/cell


Record 3
A relaxed structure of BeCdOs2. Source: Alexandria, functional PBE-GGA.

The structure in CIF format:
```
data_BeCdOs2
_space_group_name_H-M_alt 'P 1'
_space_group_IT_number 1
_space_group_name_Hall 'P 1'
_cell_length_a 3.995
_cell_length_b 2.795
_cell_length_c 5.456
_cell_angle_alpha 73.65
_cell_angle_beta 90.00
_cell_angle_gamma 90.00
loop_
_atom_site_label
_atom_site_type_symbol
_atom_site_fract_x
_atom_site_fract_y
_atom_site_fract_z
_atom_site_occupancy
Be1 Be 0.500 0.250 0.250 1
Os1 Os 0.000 0.100 0.045 1
Os2 Os 0.000 0.400 0.455 1
Cd1 Cd 0.500 0.750 0.750 1
```

Energy of formation from the pure elements ... 455 meV/atom
Distance to the lowest polymorph of the same formula ... 0.304 eV/atom
Crystal system ... monoclinic
V ... 58 Å³/cell
Total DFT energy (no corrections) ... -25.282 eV/cell


Record 4
A relaxed structure of BeCd2Os. Source: Alexandria, functional PBE-GGA.

The structure in CIF format:
```
data_BeCd2Os
_space_group_name_H-M_alt 'P 1'
_space_group_IT_number 1
_space_group_name_Hall 'P 1'
_cell_length_a 4.979
_cell_length_b 4.979
_cell_length_c 2.893
_cell_angle_alpha 90.00
_cell_angle_beta 90.00
_cell_angle_gamma 114.31
loop_
_atom_site_label
_atom_site_type_symbol
_atom_site_fract_x
_atom_site_fract_y
_atom_site_fract_z
_atom_site_occupancy
Be1 Be 0.000 0.500 0.500 1
Os1 Os 0.500 0.000 0.500 1
Cd1 Cd 0.000 0.000 0.000 1
Cd2 Cd 0.500 0.500 0.000 1
```

Energy of formation from the pure elements ... 626 meV/atom
Crystal system ... orthorhombic
V ... 65 Å³/cell
Total DFT energy (no corrections) ... -14.284 eV/cell


Record 5
A relaxed structure of BeCdOs2. Source: Alexandria, functional PBE-GGA.

The structure in CIF format:
```
data_BeCdOs2
_space_group_name_H-M_alt 'P 1'
_space_group_IT_number 1
_space_group_name_Hall 'P 1'
_cell_length_a 5.258
_cell_length_b 5.258
_cell_length_c 4.413
_cell_angle_alpha 65.21
_cell_angle_beta 65.21
_cell_angle_gamma 30.92
loop_
_atom_site_label
_atom_site_type_symbol
_atom_site_fract_x
_atom_site_fract_y
_atom_site_fract_z
_atom_site_occupancy
Be1 Be 0.250 0.250 0.250 1
Os1 Os 0.960 0.960 0.040 1
Os2 Os 0.540 0.540 0.460 1
Cd1 Cd 0.750 0.750 0.750 1
```

Energy of formation from the pure elements ... 315 meV/atom
Distance to the lowest polymorph of the same formula ... 0.164 eV/atom
Crystal system ... orthorhombic
V ... 56 Å³/cell
Total DFT energy (no corrections) ... -25.841 eV/cell


Record 6
A relaxed structure of BeCd2Os. Source: Alexandria, functional PBE-GGA.

The structure in CIF format:
```
data_BeCd2Os
_space_group_name_H-M_alt 'P 1'
_space_group_IT_number 1
_space_group_name_Hall 'P 1'
_cell_length_a 3.033
_cell_length_b 3.033
_cell_length_c 7.095
_cell_angle_alpha 90.00
_cell_angle_beta 90.00
_cell_angle_gamma 90.00
loop_
_atom_site_label
_atom_site_type_symbol
_atom_site_fract_x
_atom_site_fract_y
_atom_site_fract_z
_atom_site_occupancy
Be1 Be 0.500 0.500 0.681 1
Os1 Os 0.000 0.000 0.566 1
Cd1 Cd 0.000 0.000 0.965 1
Cd2 Cd 0.500 0.500 0.287 1
```

Energy of formation from the pure elements ... 207 meV/atom
Crystal system ... tetragonal
V ... 65 Å³/cell
Total DFT energy (no corrections) ... -15.957 eV/cell


Record 7
A relaxed structure of BeCdOs2. Source: Alexandria, functional PBE-GGA.

The structure in CIF format:
```
data_BeCdOs2
_space_group_name_H-M_alt 'P 1'
_space_group_IT_number 1
_space_group_name_Hall 'P 1'
_cell_length_a 4.239
_cell_length_b 4.239
_cell_length_c 3.192
_cell_angle_alpha 90.00
_cell_angle_beta 90.00
_cell_angle_gamma 90.00
loop_
_atom_site_label
_atom_site_type_symbol
_atom_site_fract_x
_atom_site_fract_y
_atom_site_fract_z
_atom_site_occupancy
Be1 Be 0.500 0.000 0.500 1
Os1 Os 0.000 0.000 0.000 1
Os2 Os 0.500 0.500 0.000 1
Cd1 Cd 0.000 0.500 0.500 1
```

Energy of formation from the pure elements ... 852 meV/atom
Distance to the lowest polymorph of the same formula ... 0.701 eV/atom
Crystal system ... tetragonal
V ... 57 Å³/cell
Total DFT energy (no corrections) ... -23.693 eV/cell


Record 8
A relaxed structure of BeCd2Os. Source: Alexandria, functional PBE-GGA.

The structure in CIF format:
```
data_BeCd2Os
_space_group_name_H-M_alt 'P 1'
_space_group_IT_number 1
_space_group_name_Hall 'P 1'
_cell_length_a 5.224
_cell_length_b 5.224
_cell_length_c 5.224
_cell_angle_alpha 137.76
_cell_angle_beta 137.76
_cell_angle_gamma 61.27
loop_
_atom_site_label
_atom_site_type_symbol
_atom_site_fract_x
_atom_site_fract_y
_atom_site_fract_z
_atom_site_occupancy
Be1 Be 0.750 0.250 0.500 1
Os1 Os 0.250 0.750 0.500 1
Cd1 Cd 0.000 0.000 0.000 1
Cd2 Cd 0.500 0.500 0.000 1
```

Energy of formation from the pure elements ... 573 meV/atom
Crystal system ... tetragonal
V ... 64 Å³/cell
Total DFT energy (no corrections) ... -14.493 eV/cell